# 1
The following is a PBE-GGA calculation of a relaxed CoSi3Pd crystal, from Alexandria.

E_form (uncorrected) = 0.250 eV/atom
excess energy over the best structure of this formula in the dataset = 0.000 eV per atom
mass density = 5.17 g/cm³
calculated total energy = -5.463 eV per atom

a b c (Å): 4.3108 4.3108 4.3108
angles (deg): 90.00 90.00 90.00
With the nearest neighbours (Å) after each atom.
Space group Pm-3m (No. 221)
Unique sites:
Co: 0.0000 0.0000 0.0000 x1  6 Si 2.16
Si: 0.0000 0.0000 0.5000 x3  2 Co 2.16
Pd: 0.5000 0.5000 0.5000 x1  12 Si 3.05

---

# 2
The following is a PBE-GGA calculation of a relaxed TiGe2P crystal, from Alexandria.

excess energy over the best structure of this formula in the dataset = 0.289 eV per atom
mass density = 5.42 g/cm³
energy relative to the elements = 1.4 eV/f.u.
calculated total energy = -5.283 eV per atom

a b c (Å): 6.4988 6.4988 6.4988
angles (deg): 90.00 90.00 90.00
With the nearest neighbours (Å) after each atom.
Space group Fm-3m (No. 225)
Unique sites:
Ti: 0.0000 0.0000 0.0000 x4  8 Ge 2.81
Ge: 0.2500 0.2500 0.2500 x8  4 Ti 2.81, 4 P 2.81
P: 0.0000 0.0000 0.5000 x4  8 Ge 2.81

---

# 3
The following is a PBE-GGA calculation of a relaxed K2Te2Ir crystal, from Alexandria.

E_form (uncorrected) = 0.468 eV/atom
mass density = 5.27 g/cm³
calculated total energy = -2.999 eV per atom

a b c (Å): 10.4388 10.4388 3.0380
angles (deg): 90.00 90.00 90.00
With the nearest neighbours (Å) after each atom.
Space group P4/mbm (No. 127)
Unique sites:
K: 0.1358 0.3642 0.0000 x4  2 K 3.04, 2 Te 3.33
Te: 0.1635 0.6635 0.5000 x4  2 Te 3.04, 2 K 3.33
Ir: 0.0000 0.0000 0.0000 x2  2 Ir 3.04

---

# 4
The following is a PBE-GGA calculation of a relaxed IrPb2 crystal, from Alexandria.

mass density = 14.21 g/cm³
energy relative to the elements = 1.4 eV/f.u.
calculated total energy = -4.976 eV per atom

a b c (Å): 4.9139 4.9139 6.7818
angles (deg): 90.00 90.00 120.00
With the nearest neighbours (Å) after each atom.
Space group P6_3/mmc (No. 194)
Unique sites:
Ir: 0.3333 0.6667 0.2500 x2  3 Pb 2.84
Pb: 0.0000 0.0000 0.0000 x2  6 Ir 3.31, 8 Pb 3.31-3.39
Pb: 0.3333 0.6667 0.7500 x2  3 Ir 2.84

---

# 5
The following is a PBE-GGA calculation of a relaxed Er4GaAg3 crystal, from Alexandria.

mass density = 9.55 g/cm³
energy relative to the elements = -3.2 eV/f.u.
calculated total energy = -4.126 eV per atom

a b c (Å): 3.5508 3.5508 14.6511
angles (deg): 90.00 90.00 90.00
With the nearest neighbours (Å) after each atom.
Space group P4/mmm (No. 123)
Unique sites:
Er: 0.0000 0.0000 0.1221 x2  4 Ga 3.08, 4 Ag 3.12
Er: 0.0000 0.0000 0.3738 x2  8 Ag 3.11-3.12
Ga: 0.5000 0.5000 0.0000 x1  8 Er 3.08
Ag: 0.5000 0.5000 0.2483 x2  8 Er 3.11-3.12
Ag: 0.5000 0.5000 0.5000 x1  8 Er 3.12

---

# 6
The following is a PBE-GGA calculation of a relaxed MnInPb2Cl6 crystal, from Alexandria.

E_form (uncorrected) = -0.888 eV/atom
mass density = 4.34 g/cm³
calculated total energy = -3.928 eV per atom

a b c (Å): 7.5016 7.5016 18.7738
angles (deg): 90.00 90.00 120.00
With the nearest neighbours (Å) after each atom.
Space group R3 (No. 146, hexagonal axes)
Unique sites:
Mn: 0.0000 0.0000 0.0000 x3  6 Cl 2.54-2.60
In: 0.0000 0.0000 0.5744 x3  3 Cl 3.05
Pb: 0.0000 0.0000 0.3327 x3  6 Cl 2.88-3.01
Pb: 0.0000 0.0000 0.7584 x3  3 Cl 2.87
Cl: 0.0270 0.2928 0.0811 x9  1 Mn 2.60, 1 Pb 2.87
Cl: 0.0341 0.6135 0.5888 x9  1 Mn 2.54

---

# 7
The following is a PBE-GGA calculation of a relaxed AcGa3Au2 crystal, from Alexandria.

mass density = 10.33 g/cm³
energy relative to the elements = -3.2 eV/f.u.
calculated total energy = -3.817 eV per atom

a b c (Å): 16.2035 4.4325 8.1022
angles (deg): 90.00 113.49 90.00
With the nearest neighbours (Å) after each atom.
Space group C2/m (No. 12)
Unique sites:
Ac: 0.1478 0.0000 0.0957 x4  7 Ga 3.24-3.61, 6 Au 3.33-3.54
Ga: 0.0106 0.0000 0.3538 x4  1 Ga 2.53, 3 Au 2.63-2.80
Ga: 0.1352 0.5000 0.7747 x4  3 Au 2.63-2.66
Ga: 0.1791 0.5000 0.4490 x4  4 Au 2.63-2.73
Au: 0.0179 0.5000 0.1854 x4  4 Ga 2.63, 1 Au 2.82
Au: 0.1783 0.0000 0.6457 x4  6 Ga 2.66-2.80

---

# 8
The following is a PBE-GGA calculation of a relaxed SiTeW crystal, from Alexandria.

E_form (uncorrected) = 0.336 eV/atom
excess energy over the best structure of this formula in the dataset = 0.000 eV per atom
mass density = 9.71 g/cm³
calculated total energy = -6.836 eV per atom

a b c (Å): 3.3800 3.3800 5.8707
angles (deg): 90.00 90.00 120.00
With the nearest neighbours (Å) after each atom.
Space group P3m1 (No. 156)
Unique sites:
Si: 0.0000 0.0000 0.0000 x1  3 W 2.52
Te: 0.6667 0.3333 0.3977 x1  3 W 2.75, 3 Si 3.04
W: 0.3333 0.6667 0.7275 x1  3 Si 2.52, 3 Te 2.75

---

# 9
The following is a PBE-GGA calculation of a relaxed AcMg2In4Pd crystal, from Alexandria.

mass density = 7.03 g/cm³
energy relative to the elements = -2.4 eV/f.u.
calculated total energy = -3.228 eV per atom

a b c (Å): 4.8682 4.8682 29.0403
angles (deg): 90.00 90.00 120.00
With the nearest neighbours (Å) after each atom.
Space group R-3m (No. 166, hexagonal axes)
Unique sites:
Ac: 0.0000 0.0000 0.0000 x3  6 In 3.43
Mg: 0.0000 0.0000 0.2432 x6  7 In 2.89-3.18
In: 0.0000 0.0000 0.1335 x6  3 Pd 2.97, 4 Mg 3.08-3.18
In: 0.0000 0.0000 0.4008 x6  1 Pd 2.88, 3 Mg 2.89
Pd: 0.0000 0.0000 0.5000 x3  8 In 2.88-2.97

---

# 10
The following is a PBE-GGA calculation of a relaxed Zn2SiSe2 crystal, from Alexandria.

E_form (uncorrected) = 0.238 eV/atom
mass density = 5.17 g/cm³
calculated total energy = -2.750 eV per atom

a b c (Å): 3.8427 3.8427 13.7810
angles (deg): 90.00 90.00 90.00
With the nearest neighbours (Å) after each atom.
Space group I4/mmm (No. 139)
Unique sites:
Zn: 0.0000 0.5000 0.2500 x4  4 Se 2.62, 4 Zn 2.72
Si: 0.0000 0.0000 0.0000 x2  8 Se 3.18
Se: 0.0000 0.0000 0.3797 x4  4 Zn 2.62

---

# 11
The following is a PBE-GGA calculation of a relaxed Ho2ErMgAu4 crystal, from Alexandria.

mass density = 12.41 g/cm³
energy relative to the elements = -6.6 eV/f.u.
calculated total energy = -4.381 eV per atom

a b c (Å): 4.9764 4.9764 24.5148
angles (deg): 90.00 90.00 120.00
With the nearest neighbours (Å) after each atom.
Space group R-3m (No. 166, hexagonal axes)
Unique sites:
Ho: 0.0000 0.0000 0.2454 x6  8 Au 3.00-3.12
Er: 0.0000 0.0000 0.0000 x3  8 Au 3.01-3.02
Mg: 0.0000 0.0000 0.5000 x3  8 Au 3.07-3.15
Au: 0.0000 0.0000 0.1228 x6  4 Ho 3.00-3.01, 1 Er 3.01, 3 Mg 3.07
Au: 0.0000 0.0000 0.3714 x6  3 Er 3.02, 4 Ho 3.09-3.12, 1 Mg 3.15

---

# 12
The following is a PBE-GGA calculation of a relaxed HoMn9Fe3 crystal, from Alexandria.

mass density = 8.56 g/cm³
energy relative to the elements = 0.1 eV/f.u.
calculated total energy = -8.646 eV per atom

a b c (Å): 4.6774 11.6923 6.3024
angles (deg): 90.00 111.39 90.00
With the nearest neighbours (Å) after each atom.
Space group C2/m (No. 12)
Unique sites:
Ho: 0.0000 0.0000 0.0000 x2  14 Mn 2.99-3.17, 6 Fe 3.15
Mn: 0.0000 0.5000 0.5000 x2  2 Fe 2.34, 8 Mn 2.37-2.55
Mn: 0.1117 0.3871 0.2266 x8  6 Mn 2.37-2.64, 3 Fe 2.39
Mn: 0.1805 0.1810 0.3605 x8  4 Mn 2.30-2.55, 3 Fe 2.54-2.56
Fe: 0.0000 0.0000 0.5000 x2  10 Mn 2.34-2.55
Fe: 0.2500 0.2500 0.0000 x4  2 Fe 2.34, 8 Mn 2.39-2.56